# 1
## LiTbPr2S4 (PBE-GGA)

Data for a geometry-optimized LiTbPr2S4 structure.

Summary:
Magnetic moment in μB per cell: 0.0
Raw total energy in eV per atom: -5.990

```
data_LiTbPr2S4
_cell_length_a 6.900
_cell_length_b 4.006
_cell_length_c 6.936
_cell_angle_alpha 90.00
_cell_angle_beta 109.45
_cell_angle_gamma 90.00
_space_group_name_H-M_alt 'P 1 2/m 1'
_space_group_IT_number 10
_space_group_name_Hall '-P 2y'
loop_
_atom_site_label
_atom_site_type_symbol
_atom_site_fract_x
_atom_site_fract_y
_atom_site_fract_z
Li1 Li 0.000 0.000 0.000
Tb1 Tb 0.500 0.500 0.000
Pr1 Pr 0.000 0.500 0.500
Pr2 Pr 0.500 0.000 0.500
S1 S 0.243 0.500 0.233
S2 S 0.252 0.000 0.768
```



# 2
## LiTbPr2S5 (PBE-GGA)

Data for a geometry-optimized LiTbPr2S5 structure.

Summary:
Magnetic moment in μB per cell: 0.0
Raw total energy in eV per atom: -6.004

```
data_LiTbPr2S5
_cell_length_a 4.014
_cell_length_b 16.609
_cell_length_c 11.982
_cell_angle_alpha 90.00
_cell_angle_beta 90.00
_cell_angle_gamma 90.00
_space_group_name_H-M_alt 'C m c 21'
_space_group_IT_number 36
_space_group_name_Hall 'C 2c -2'
loop_
_atom_site_label
_atom_site_type_symbol
_atom_site_fract_x
_atom_site_fract_y
_atom_site_fract_z
Li1 Li 0.000 0.014 0.000
Tb1 Tb 0.000 0.303 0.520
Pr1 Pr 0.000 0.376 0.816
Pr2 Pr 0.000 0.391 0.203
S1 S 0.000 0.001 0.802
S2 S 0.000 0.137 0.516
S3 S 0.000 0.193 0.862
S4 S 0.000 0.212 0.177
S5 S 0.000 0.453 0.587
```



# 3
## Li3TbPr2S6 (PBE-GGA)

Data for a geometry-optimized Li3TbPr2S6 structure.

Summary:
Magnetic moment in μB per cell: 0.0
Raw total energy in eV per atom: -5.511

```
data_Li3TbPr2S6
_cell_length_a 6.996
_cell_length_b 12.154
_cell_length_c 6.623
_cell_angle_alpha 90.00
_cell_angle_beta 110.26
_cell_angle_gamma 90.00
_space_group_name_H-M_alt 'C 1 2/m 1'
_space_group_IT_number 12
_space_group_name_Hall '-C 2y'
loop_
_atom_site_label
_atom_site_type_symbol
_atom_site_fract_x
_atom_site_fract_y
_atom_site_fract_z
Li1 Li 0.000 0.000 0.000
Li2 Li 0.000 0.344 0.000
Tb1 Tb 0.000 0.500 0.500
Pr1 Pr 0.000 0.168 0.500
S1 S 0.241 0.500 0.246
S2 S 0.246 0.338 0.756
```



# 4
## LiTb2Pr3S6 (PBE-GGA)

Data for a geometry-optimized LiTb2Pr3S6 structure.

Summary:
Magnetic moment in μB per cell: 0.0
Raw total energy in eV per atom: -6.147

```
data_LiTb2Pr3S6
_cell_length_a 6.885
_cell_length_b 11.966
_cell_length_c 6.984
_cell_angle_alpha 90.00
_cell_angle_beta 109.32
_cell_angle_gamma 90.00
_space_group_name_H-M_alt 'C 1 2/m 1'
_space_group_IT_number 12
_space_group_name_Hall '-C 2y'
loop_
_atom_site_label
_atom_site_type_symbol
_atom_site_fract_x
_atom_site_fract_y
_atom_site_fract_z
Li1 Li 0.000 0.000 0.000
Tb1 Tb 0.000 0.334 0.000
Pr1 Pr 0.000 0.165 0.500
Pr2 Pr 0.000 0.500 0.500
S1 S 0.241 0.164 0.232
S2 S 0.250 0.000 0.771
```



# 5
## LiTb2PrS4 (PBE-GGA)

Data for a geometry-optimized LiTb2PrS4 structure.

Summary:
Magnetic moment in μB per cell: 0.0
Raw total energy in eV per atom: -5.895

```
data_LiTb2PrS4
_cell_length_a 3.892
_cell_length_b 13.130
_cell_length_c 13.572
_cell_angle_alpha 90.00
_cell_angle_beta 90.00
_cell_angle_gamma 90.00
_space_group_name_H-M_alt 'C m c m'
_space_group_IT_number 63
_space_group_name_Hall '-C 2c 2'
loop_
_atom_site_label
_atom_site_type_symbol
_atom_site_fract_x
_atom_site_fract_y
_atom_site_fract_z
Li1 Li 0.000 0.144 0.250
Tb1 Tb 0.000 0.366 0.558
Pr1 Pr 0.000 0.125 0.750
S1 S 0.000 0.000 0.000
S2 S 0.000 0.272 0.124
S3 S 0.000 0.459 0.750
```



# 6
## Li2PrTeS4 (PBE-GGA)

Data for a geometry-optimized Li2PrTeS4 structure.

Summary:
Magnetic moment in μB per cell: 0.0
Raw total energy in eV per atom: -4.560

```
data_Li2PrTeS4
_cell_length_a 11.352
_cell_length_b 10.788
_cell_length_c 8.037
_cell_angle_alpha 90.00
_cell_angle_beta 132.70
_cell_angle_gamma 90.00
_space_group_name_H-M_alt 'C 1 2/c 1'
_space_group_IT_number 15
_space_group_name_Hall '-C 2yc'
loop_
_atom_site_label
_atom_site_type_symbol
_atom_site_fract_x
_atom_site_fract_y
_atom_site_fract_z
Li1 Li 0.000 0.000 0.000
Li2 Li 0.250 0.250 0.000
Pr1 Pr 0.000 0.500 0.000
Te1 Te 0.250 0.250 0.500
S1 S 0.043 0.238 0.548
S2 S 0.246 0.499 0.490
```



# 7
## LiPrTeS (PBE-GGA)

Data for a geometry-optimized LiPrTeS structure.

Summary:
Magnetic moment in μB per cell: 0.0
Raw total energy in eV per atom: -4.954

```
data_LiPrTeS
_cell_length_a 4.634
_cell_length_b 4.634
_cell_length_c 9.837
_cell_angle_alpha 90.00
_cell_angle_beta 90.00
_cell_angle_gamma 90.00
_space_group_name_H-M_alt 'P 4/n m m'
_space_group_IT_number 129
loop_
_space_group_symop_operation_xyz
'x,y,z'
'-x,-y,-z'
'-y+1/2,x,z'
'y+1/2,-x,-z'
'-x+1/2,-y+1/2,z'
'x+1/2,y+1/2,-z'
'y,-x+1/2,z'
'-y,x+1/2,-z'
'x+1/2,-y,-z'
'-x+1/2,y,z'
'-y,-x,-z'
'y,x,z'
'-x,y+1/2,-z'
'x,-y+1/2,z'
'y+1/2,x+1/2,-z'
'-y+1/2,-x+1/2,z'
loop_
_atom_site_label
_atom_site_type_symbol
_atom_site_fract_x
_atom_site_fract_y
_atom_site_fract_z
Li1 Li 0.250 0.750 0.000
Pr1 Pr 0.250 0.250 0.343
Te1 Te 0.250 0.250 0.834
S1 S 0.250 0.750 0.500
```



# 8
## LiPr3Th4S8 (PBE-GGA)

Data for a geometry-optimized LiPr3Th4S8 structure.

Summary:
Magnetic moment in μB per cell: 0.0
Raw total energy in eV per atom: -6.788

```
data_LiPr3Th4S8
_cell_length_a 8.0454
_cell_length_b 8.0454
_cell_length_c 20.0397
_cell_angle_alpha 90.00
_cell_angle_beta 90.00
_cell_angle_gamma 120.00
_space_group_name_H-M_alt 'R -3 m'
_space_group_IT_number 166
_space_group_name_Hall '-R 3 2"'
loop_
_atom_site_label
_atom_site_type_symbol
_atom_site_fract_x
_atom_site_fract_y
_atom_site_fract_z
Li1 Li 0.0000 0.0000 0.0000
Pr1 Pr 0.0000 0.5000 0.0000
Th1 Th 0.0000 0.0000 0.5000
Th2 Th 0.0000 0.5000 0.5000
S1 S 0.0000 0.0000 0.2490
S2 S 0.0125 0.5062 0.7485
```



# 9
## LiPr3Th2S6 (PBE-GGA)

Data for a geometry-optimized LiPr3Th2S6 structure.

Summary:
Magnetic moment in μB per cell: 0.0
Raw total energy in eV per atom: -6.536

```
data_LiPr3Th2S6
_cell_length_a 6.980
_cell_length_b 12.161
_cell_length_c 7.004
_cell_angle_alpha 90.00
_cell_angle_beta 109.70
_cell_angle_gamma 90.00
_space_group_name_H-M_alt 'C 1 2/m 1'
_space_group_IT_number 12
_space_group_name_Hall '-C 2y'
loop_
_atom_site_label
_atom_site_type_symbol
_atom_site_fract_x
_atom_site_fract_y
_atom_site_fract_z
Li1 Li 0.000 0.000 0.000
Pr1 Pr 0.000 0.167 0.500
Pr2 Pr 0.000 0.500 0.500
Th1 Th 0.000 0.334 0.000
S1 S 0.240 0.162 0.236
S2 S 0.243 0.000 0.764
```



# 10
## LiPr4Th3S8 (PBE-GGA)

Data for a geometry-optimized LiPr4Th3S8 structure.

Summary:
Magnetic moment in μB per cell: 0.0
Raw total energy in eV per atom: -6.659

```
data_LiPr4Th3S8
_cell_length_a 8.1014
_cell_length_b 8.1014
_cell_length_c 19.8584
_cell_angle_alpha 90.00
_cell_angle_beta 90.00
_cell_angle_gamma 120.00
_space_group_name_H-M_alt 'R -3 m'
_space_group_IT_number 166
_space_group_name_Hall '-R 3 2"'
loop_
_atom_site_label
_atom_site_type_symbol
_atom_site_fract_x
_atom_site_fract_y
_atom_site_fract_z
Li1 Li 0.0000 0.0000 0.0000
Pr1 Pr 0.0000 0.0000 0.5000
Pr2 Pr 0.0000 0.5000 0.5000
Th1 Th 0.0000 0.5000 0.0000
S1 S 0.0000 0.0000 0.2511
S2 S 0.0095 0.5047 0.7455
```



# 11
## LiPr3Th3S8 (PBE-GGA)

Data for a geometry-optimized LiPr3Th3S8 structure.

Summary:
Magnetic moment in μB per cell: 0.0
Raw total energy in eV per atom: -6.664

```
data_LiPr3Th3S8
_cell_length_a 8.1112
_cell_length_b 8.1112
_cell_length_c 19.6582
_cell_angle_alpha 90.00
_cell_angle_beta 90.00
_cell_angle_gamma 120.00
_space_group_name_H-M_alt 'R -3 m'
_space_group_IT_number 166
_space_group_name_Hall '-R 3 2"'
loop_
_atom_site_label
_atom_site_type_symbol
_atom_site_fract_x
_atom_site_fract_y
_atom_site_fract_z
Li1 Li 0.0000 0.0000 0.0000
Pr1 Pr 0.0000 0.5000 0.0000
Th1 Th 0.0000 0.5000 0.5000
S1 S 0.0000 0.0000 0.2487
S2 S 0.0145 0.5072 0.7492
```



# 12
## LiPr2ThS5 (PBE-GGA)

Data for a geometry-optimized LiPr2ThS5 structure.

Summary:
Magnetic moment in μB per cell: 0.0
Raw total energy in eV per atom: -6.254

```
data_LiPr2ThS5
_cell_length_a 4.004
_cell_length_b 16.813
_cell_length_c 12.172
_cell_angle_alpha 90.00
_cell_angle_beta 90.00
_cell_angle_gamma 90.00
_space_group_name_H-M_alt 'C m c 21'
_space_group_IT_number 36
_space_group_name_Hall 'C 2c -2'
loop_
_atom_site_label
_atom_site_type_symbol
_atom_site_fract_x
_atom_site_fract_y
_atom_site_fract_z
Li1 Li 0.000 0.009 0.000
Pr1 Pr 0.000 0.376 0.821
Pr2 Pr 0.000 0.389 0.209
Th1 Th 0.000 0.305 0.524
S1 S 0.000 0.000 0.306
S2 S 0.000 0.139 0.522
S3 S 0.000 0.190 0.862
S4 S 0.000 0.209 0.187
S5 S 0.000 0.457 0.589
```



# 13
## Li2PrThS4 (PBE-GGA)

Data for a geometry-optimized Li2PrThS4 structure.

Summary:
Magnetic moment in μB per cell: 0.0
Raw total energy in eV per atom: -5.765

```
data_Li2PrThS4
_cell_length_a 6.671
_cell_length_b 4.026
_cell_length_c 6.960
_cell_angle_alpha 90.00
_cell_angle_beta 110.17
_cell_angle_gamma 90.00
_space_group_name_H-M_alt 'P 1 2/m 1'
_space_group_IT_number 10
_space_group_name_Hall '-P 2y'
loop_
_atom_site_label
_atom_site_type_symbol
_atom_site_fract_x
_atom_site_fract_y
_atom_site_fract_z
Li1 Li 0.000 0.000 0.000
Li2 Li 0.000 0.500 0.500
Pr1 Pr 0.500 0.000 0.500
Th1 Th 0.500 0.500 0.000
S1 S 0.236 0.500 0.239
S2 S 0.237 0.000 0.752
```



# 14
## Li3Pr2TmS6 (PBE-GGA)

Data for a geometry-optimized Li3Pr2TmS6 structure.

Summary:
Magnetic moment in μB per cell: 0.0
Raw total energy in eV per atom: -5.501

```
data_Li3Pr2TmS6
_cell_length_a 6.951
_cell_length_b 12.117
_cell_length_c 6.600
_cell_angle_alpha 90.00
_cell_angle_beta 109.78
_cell_angle_gamma 90.00
_space_group_name_H-M_alt 'C 1 2/m 1'
_space_group_IT_number 12
_space_group_name_Hall '-C 2y'
loop_
_atom_site_label
_atom_site_type_symbol
_atom_site_fract_x
_atom_site_fract_y
_atom_site_fract_z
Li1 Li 0.000 0.000 0.000
Li2 Li 0.000 0.350 0.000
Pr1 Pr 0.000 0.168 0.500
Tm1 Tm 0.000 0.500 0.500
S1 S 0.239 0.500 0.248
S2 S 0.241 0.341 0.754
```



# 15
## LiPrTmS3 (PBE-GGA)

Data for a geometry-optimized LiPrTmS3 structure.

Summary:
Magnetic moment in μB per cell: 0.0
Raw total energy in eV per atom: -5.749

```
data_LiPrTmS3
_cell_length_a 8.100
_cell_length_b 3.858
_cell_length_c 8.460
_cell_angle_alpha 90.00
_cell_angle_beta 103.28
_cell_angle_gamma 90.00
_space_group_name_H-M_alt 'P 1 21/m 1'
_space_group_IT_number 11
_space_group_name_Hall '-P 2yb'
loop_
_atom_site_label
_atom_site_type_symbol
_atom_site_fract_x
_atom_site_fract_y
_atom_site_fract_z
Li1 Li 0.087 0.250 0.085
Pr1 Pr 0.191 0.250 0.725
Tm1 Tm 0.334 0.750 0.336
S1 S 0.102 0.250 0.367
S2 S 0.217 0.750 0.005
S3 S 0.436 0.750 0.669
```



# 16
## LiPrTm2S4 (PBE-GGA)

Data for a geometry-optimized LiPrTm2S4 structure.

Summary:
Magnetic moment in μB per cell: 0.0
Raw total energy in eV per atom: -5.926

```
data_LiPrTm2S4
_cell_length_a 6.781
_cell_length_b 3.892
_cell_length_c 6.825
_cell_angle_alpha 90.00
_cell_angle_beta 109.11
_cell_angle_gamma 90.00
_space_group_name_H-M_alt 'P 1 2/m 1'
_space_group_IT_number 10
_space_group_name_Hall '-P 2y'
loop_
_atom_site_label
_atom_site_type_symbol
_atom_site_fract_x
_atom_site_fract_y
_atom_site_fract_z
Li1 Li 0.000 0.000 0.000
Pr1 Pr 0.500 0.500 0.000
Tm1 Tm 0.000 0.500 0.500
Tm2 Tm 0.500 0.000 0.500
S1 S 0.235 0.000 0.736
S2 S 0.246 0.500 0.260
```



# 17
## LiPr3Tm3S8 (PBE-GGA)

Data for a geometry-optimized LiPr3Tm3S8 structure.

Summary:
Magnetic moment in μB per cell: 0.0
Raw total energy in eV per atom: -6.150

```
data_LiPr3Tm3S8
_cell_length_a 7.8410
_cell_length_b 7.8410
_cell_length_c 19.6035
_cell_angle_alpha 90.00
_cell_angle_beta 90.00
_cell_angle_gamma 120.00
_space_group_name_H-M_alt 'R -3 m'
_space_group_IT_number 166
_space_group_name_Hall '-R 3 2"'
loop_
_atom_site_label
_atom_site_type_symbol
_atom_site_fract_x
_atom_site_fract_y
_atom_site_fract_z
Li1 Li 0.0000 0.0000 0.0000
Pr1 Pr 0.0000 0.5000 0.5000
Tm1 Tm 0.0000 0.5000 0.0000
S1 S 0.0000 0.0000 0.2568
S2 S 0.0012 0.5006 0.2567
```



# 18
## LiPr3Tm2S6 (PBE-GGA)

Data for a geometry-optimized LiPr3Tm2S6 structure.

Summary:
Magnetic moment in μB per cell: 0.0
Raw total energy in eV per atom: -6.105

```
data_LiPr3Tm2S6
_cell_length_a 6.800
_cell_length_b 11.812
_cell_length_c 6.979
_cell_angle_alpha 90.00
_cell_angle_beta 109.04
_cell_angle_gamma 90.00
_space_group_name_H-M_alt 'C 1 2/m 1'
_space_group_IT_number 12
_space_group_name_Hall '-C 2y'
loop_
_atom_site_label
_atom_site_type_symbol
_atom_site_fract_x
_atom_site_fract_y
_atom_site_fract_z
Li1 Li 0.000 0.000 0.000
Pr1 Pr 0.000 0.164 0.500
Pr2 Pr 0.000 0.500 0.500
Tm1 Tm 0.000 0.334 0.000
S1 S 0.241 0.166 0.227
S2 S 0.245 0.500 0.223
```



# 19
## Li3PrU2S6 (PBE-GGA)

Data for a geometry-optimized Li3PrU2S6 structure.

Summary:
Magnetic moment in μB per cell: 11.9
Raw total energy in eV per atom: -6.305

```
data_Li3PrU2S6
_cell_length_a 6.833
_cell_length_b 11.841
_cell_length_c 6.652
_cell_angle_alpha 90.00
_cell_angle_beta 110.09
_cell_angle_gamma 90.00
_space_group_name_H-M_alt 'C 1 2/m 1'
_space_group_IT_number 12
_space_group_name_Hall '-C 2y'
loop_
_atom_site_label
_atom_site_type_symbol
_atom_site_fract_x
_atom_site_fract_y
_atom_site_fract_z
Li1 Li 0.000 0.000 0.000
Li2 Li 0.000 0.332 0.000
Pr1 Pr 0.000 0.500 0.500
U1 U 0.000 0.166 0.500
S1 S 0.241 0.000 0.761
S2 S 0.241 0.173 0.244
```



# 20
## Li3Pr2US6 (PBE-GGA)

Data for a geometry-optimized Li3Pr2US6 structure.

Summary:
Magnetic moment in μB per cell: 5.9
Raw total energy in eV per atom: -5.887

```
data_Li3Pr2US6
_cell_length_a 6.976
_cell_length_b 12.099
_cell_length_c 6.633
_cell_angle_alpha 90.00
_cell_angle_beta 110.40
_cell_angle_gamma 90.00
_space_group_name_H-M_alt 'C 1 2/m 1'
_space_group_IT_number 12
_space_group_name_Hall '-C 2y'
loop_
_atom_site_label
_atom_site_type_symbol
_atom_site_fract_x
_atom_site_fract_y
_atom_site_fract_z
Li1 Li 0.000 0.000 0.000
Li2 Li 0.000 0.341 0.000
Pr1 Pr 0.000 0.167 0.500
U1 U 0.000 0.500 0.500
S1 S 0.237 0.500 0.245
S2 S 0.246 0.340 0.759
```



| no. | formation energy without anion corrections (eV per atom) |
| --- | --- |
| 1 | -1.913 |
| 2 | -1.922 |
| 3 | -1.786 |
| 4 | -1.958 |
| 5 | -1.837 |
| 6 | -1.028 |
| 7 | -1.463 |
| 8 | -1.854 |
| 9 | -1.882 |
| 10 | -1.890 |
| 11 | -1.895 |
| 12 | -1.862 |
| 13 | -1.697 |
| 14 | -1.789 |
| 15 | -1.824 |
| 16 | -1.908 |
| 17 | -1.971 |
| 18 | -1.942 |
| 19 | -1.483 |
| 20 | -1.608 |